Be12Al3Os5: relaxed, PBE.

a b c (Å): 11.319 11.319 11.319
angles (deg): 109.47 109.47 109.47
Positions (direct):
1 Al 0.750 0.375 0.125
2 Al 0.875 0.750 0.125
3 Al 0.375 0.750 0.625
4 Al 0.250 0.125 0.375
5 Al 0.875 0.125 0.250
6 Al 0.375 0.625 0.250
7 Al 0.625 0.375 0.750
8 Al 0.125 0.875 0.750
9 Al 0.750 0.875 0.625
10 Al 0.625 0.250 0.375
11 Al 0.125 0.250 0.875
12 Al 0.250 0.625 0.875
13 Os 0.125 0.375 0.250
14 Os 0.000 0.500 0.000
15 Os 0.000 0.000 0.000
16 Os 0.375 0.250 0.125
17 Os 0.500 0.000 0.500
18 Os 0.500 0.500 0.000
19 Os 0.125 0.750 0.375
20 Os 0.750 0.125 0.875
21 Os 0.750 0.625 0.375
22 Os 0.375 0.125 0.750
23 Os 0.625 0.875 0.250
24 Os 0.500 0.500 0.500
25 Os 0.500 0.000 0.000
26 Os 0.000 0.000 0.500
27 Os 0.250 0.375 0.625
28 Os 0.250 0.875 0.125
29 Os 0.000 0.500 0.500
30 Os 0.875 0.250 0.625
31 Os 0.625 0.750 0.875
32 Os 0.875 0.625 0.750
33 Be 0.725 0.144 0.067
34 Be 0.341 0.567 0.422
35 Be 0.933 0.356 0.275
36 Be 0.567 0.225 0.144
37 Be 0.581 0.725 0.659
38 Be 0.933 0.578 0.159
39 Be 0.341 0.775 0.419
40 Be 0.078 0.919 0.144
41 Be 0.578 0.933 0.659
42 Be 0.725 0.581 0.159
43 Be 0.775 0.433 0.356
44 Be 0.841 0.922 0.067
45 Be 0.144 0.725 0.567
46 Be 0.356 0.422 0.081
47 Be 0.081 0.922 0.356
48 Be 0.419 0.144 0.578
49 Be 0.081 0.159 0.225
50 Be 0.433 0.659 0.078
51 Be 0.841 0.919 0.275
52 Be 0.144 0.419 0.078
53 Be 0.356 0.933 0.775
54 Be 0.578 0.644 0.419
55 Be 0.922 0.841 0.567
56 Be 0.775 0.341 0.919
57 Be 0.422 0.356 0.581
58 Be 0.078 0.159 0.433
59 Be 0.225 0.659 0.081
60 Be 0.159 0.081 0.725
61 Be 0.644 0.067 0.225
62 Be 0.856 0.581 0.922
63 Be 0.567 0.341 0.922
64 Be 0.581 0.856 0.422
65 Be 0.919 0.841 0.775
66 Be 0.919 0.078 0.644
67 Be 0.856 0.275 0.433
68 Be 0.159 0.078 0.933
69 Be 0.644 0.578 0.919
70 Be 0.422 0.067 0.341
71 Be 0.275 0.419 0.841
72 Be 0.225 0.567 0.644
73 Be 0.922 0.081 0.856
74 Be 0.659 0.225 0.581
75 Be 0.433 0.775 0.856
76 Be 0.067 0.422 0.841
77 Be 0.419 0.275 0.341
78 Be 0.067 0.644 0.725
79 Be 0.659 0.433 0.578
80 Be 0.275 0.856 0.933

## Properties
Energy of formation, meV per atom: 990.9
Total DFT energy (no corrections), eV for the cell shown: -369.09
Density of states at the Fermi level, states/eV per cell: 49.8
Space group: No. 230